Entry 1:
Entry from OQMD via LeMat-Bulk: crystalline U at its relaxed geometry (PBE).

Properties
Its space group is No. 166. The value obtained for the formation energy from the elements is 289 meV/atom. The value obtained for the final energy is -11.008 eV per atom.

Cell lengths 2.983, 2.983, 8.411 Å; angles 100.21, 79.79, 120.00 degrees
Each line ends with the local moment (μB).
Positions (direct):
U 0.222 0.778 0.334  -0.01
U 0.778 0.222 0.666  -0.01
U 0.000 0.000 0.000  0.23

---

Entry 2:
Entry from OQMD via LeMat-Bulk: crystalline U at its relaxed geometry (PBE).

Properties
Its space group is No. 194. The value obtained for the formation energy from the elements is 230 meV/atom. The value obtained for the final energy is -11.067 eV per atom.

Cell lengths 2.972, 2.972, 5.452 Å; angles 90.00, 90.00, 120.00 degrees
Positions (direct):
U 0.667 0.333 0.750
U 0.333 0.667 0.250

---

Entry 3:
Entry from OQMD via LeMat-Bulk: crystalline U at its relaxed geometry (PBE).

Properties
Its space group is No. 223. The value obtained for the formation energy from the elements is 126 meV/atom. The value obtained for the final energy is -11.170 eV per atom.

Cell lengths 5.460, 5.460, 5.460 Å; angles 90.00, 90.00, 90.00 degrees
Each line ends with the local moment (μB).
Positions (direct):
U 0.000 0.000 0.000  0.24
U 0.250 0.000 0.500  0.06
U 0.500 0.750 0.000  0.05
U 0.750 0.000 0.500  0.06
U 0.000 0.500 0.750  0.04
U 0.500 0.250 0.000  0.05
U 0.000 0.500 0.250  0.04
U 0.500 0.500 0.500  0.26

---

Entry 4:
Entry from OQMD via LeMat-Bulk: crystalline U at its relaxed geometry (PBE).

Properties
Its space group is No. 221. The value obtained for the formation energy from the elements is 171 meV/atom. The value obtained for the final energy is -11.125 eV per atom.

Cell lengths 3.774, 3.774, 4.622 Å; angles 90.00, 90.00, 120.00 degrees
Positions (direct):
U 0.333 0.000 0.333
U 0.000 0.333 0.667
U 0.667 0.667 0.000

---

Entry 5:
Entry from OQMD via LeMat-Bulk: crystalline U at its relaxed geometry (PBE).

Properties
Its space group is No. 62. The value obtained for the formation energy from the elements is 0 meV/atom. The value obtained for the final energy is -11.297 eV per atom.

Cell lengths 5.848, 4.880, 5.716 Å; angles 90.00, 90.00, 90.00 degrees
Positions (direct):
U 0.652 0.250 0.605
U 0.848 0.750 0.105
U 0.348 0.750 0.395
U 0.152 0.250 0.895
U 0.147 0.250 0.356
U 0.647 0.250 0.144
U 0.353 0.750 0.856
U 0.853 0.750 0.644

---

Entry 6:
Entry from OQMD via LeMat-Bulk: crystalline U at its relaxed geometry (PBE).

Properties
Its space group is No. 227. The value obtained for the formation energy from the elements is 1004 meV/atom. The value obtained for the final energy is -10.292 eV per atom.

Cell lengths 4.118, 4.118, 4.118 Å; angles 120.00, 90.00, 120.00 degrees
Each line ends with the local moment (μB).
Positions (direct):
U 0.250 0.500 0.750  0.69
U 0.000 0.000 0.000  0.69

---

The records above give, respectively, energy above the lowest structure with this stoichiometry values of 289, 230, 126, 171, 0, 1004 meV/atom.
The records above give, respectively, ρ values of 18.70, 18.95, 19.42, 20.80, 19.38, 16.01 g cm⁻³.